## TbHo2Zr (GGA-PBE)

Data for crystalline TbHo2Zr at its relaxed geometry.

a = 5.4881 Å, b = 5.4881 Å, c = 5.4881 Å
α = 60.00°, β = 60.00°, γ = 60.00°
Site moments in Bohr magnetons follow the coordinates.
Atoms (fractional coordinates):
1 Tb 0.0000 0.0000 0.0000  0.17
2 Ho 0.2500 0.2500 0.2500  0.38
3 Ho 0.7500 0.7500 0.7500  0.38
4 Zr 0.5000 0.5000 0.5000  0.88

Results
For the formation energy, the calculation gives 0.214 eV/atom. As for the magnetic moment: 2.602 μB/cell. Its excess energy over the best structure of this formula in the dataset is 149 meV per atom. As for the space-group type: No. 225.

***

## Tb3Ho6Zr (GGA-PBE)

Data for crystalline Tb3Ho6Zr at its relaxed geometry.

a = 4.8922 Å, b = 11.3886 Å, c = 12.3800 Å
α = 90.00°, β = 113.21°, γ = 90.00°
Atoms (fractional coordinates):
1 Tb 0.3518 0.1487 0.8513
2 Tb 0.5000 0.5000 0.0000
3 Tb 0.6482 0.8513 0.1487
4 Tb 0.8518 0.3513 0.3513
5 Tb 0.0000 0.0000 0.5000
6 Tb 0.1482 0.6487 0.6487
7 Ho 0.3536 0.8530 0.8530
8 Ho 0.4997 0.7849 0.4996
9 Ho 0.2161 0.5004 0.2153
10 Ho 0.7839 0.4996 0.7847
11 Ho 0.5003 0.2151 0.5004
12 Ho 0.6464 0.1470 0.1470
13 Ho 0.8536 0.6470 0.3530
14 Ho 0.9997 0.7151 0.9996
15 Ho 0.7161 0.9996 0.7153
16 Ho 0.2839 0.0004 0.2847
17 Ho 0.0003 0.2849 0.0004
18 Ho 0.1464 0.3530 0.6470
19 Zr 0.5000 0.5000 0.5000
20 Zr 0.0000 0.0000 0.0000

Results
For the formation energy, the calculation gives 0.210 eV/atom. As for the magnetic moment: 0.000 μB/cell. Its excess energy over the best structure of this formula in the dataset is 56 meV per atom. As for the space-group type: No. 14.

***

## Tb2HoZr (GGA-PBE)

Data for crystalline Tb2HoZr at its relaxed geometry.

a = 3.4629 Å, b = 3.4629 Å, c = 11.3656 Å
α = 81.24°, β = 81.24°, γ = 60.00°
Atoms (fractional coordinates):
1 Tb 0.0790 0.0790 0.7631
2 Tb 0.2543 0.2543 0.2370
3 Ho 0.5000 0.5000 0.4999
4 Zr 0.6667 0.6667 0.9999

Results
For the formation energy, the calculation gives 0.081 eV/atom. As for the magnetic moment: 0.000 μB/cell. Its excess energy over the best structure of this formula in the dataset is 0 meV per atom. As for the space-group type: No. 160.

***

## TbHo2Zr (GGA-PBE)

Data for crystalline TbHo2Zr at its relaxed geometry.

a = 4.8639 Å, b = 4.8494 Å, c = 4.8494 Å
α = 90.00°, β = 90.00°, γ = 90.00°
Atoms (fractional coordinates):
1 Tb 0.5000 0.0000 0.0000
2 Ho 0.0000 0.0000 0.5000
3 Ho 0.0000 0.5000 0.0000
4 Zr 0.5000 0.5000 0.5000

Results
For the formation energy, the calculation gives 0.090 eV/atom. As for the magnetic moment: 0.000 μB/cell. Its excess energy over the best structure of this formula in the dataset is 25 meV per atom. As for the space-group type: No. 123.

***

Question: Number 2 is which compound?
Answer: Tb3Ho6Zr